Record 1
An optimized crystal structure of Ti3Te2, computed with PBE.

```
Ti3Te2
1.0
6.7845 0.0000 0.0000
0.0000 3.7568 0.0000
0.0000 0.0000 15.5395
Ti Te
12 8
direct
0.0456 0.2500 0.1309
0.1328 0.2500 0.5646
0.2249 0.7500 0.2720
0.2751 0.2500 0.7720
0.3672 0.7500 0.0646
0.4544 0.7500 0.6309
0.5456 0.2500 0.3691
0.6328 0.2500 0.9354
0.7249 0.7500 0.2280
0.7751 0.2500 0.7280
0.8672 0.7500 0.4354
0.9544 0.7500 0.8691
0.0574 0.7500 0.6900
0.2210 0.2500 0.9501
0.2790 0.7500 0.4501
0.4426 0.2500 0.1900
0.5574 0.7500 0.8100
0.7210 0.2500 0.5499
0.7790 0.7500 0.0499
0.9426 0.2500 0.3100
```

## Properties
Formation energy (no corrections): -0.4946 eV/atom



Record 2
An optimized crystal structure of PmMnAs2, computed with PBE.

```
PmMnAs2
1.0
4.3277 0.0000 0.0000
-2.1639 3.7479 0.0000
0.0000 0.0000 23.8343
Pm Mn As
3 3 6
direct
0.0000 0.0000 0.0000
0.3333 0.6667 0.6667
0.6667 0.3333 0.3333
0.0000 0.0000 0.5000
0.3333 0.6667 0.1667
0.6667 0.3333 0.8333
0.0000 0.0000 0.4009
0.0000 0.0000 0.5991
0.3333 0.6667 0.0676
0.3333 0.6667 0.2657
0.6667 0.3333 0.7343
0.6667 0.3333 0.9324
```

## Properties
Excess energy over the best structure of this formula in the dataset: 67.5 kJ per mole of atoms



no.,total magnetization (Bohr magnetons per cell)
1,0.000
2,12.565